(1)
The following is a PBE calculation of CsTlCd3 after structural relaxation, from the Alexandria database.

Values from the calculation:
Crystal system: cubic
V, Å³ per atom: 40.6
Energy of formation, eV per atom: 0.10
DOS(E_F), states/eV/cell: 2.62
E_tot, eV per formula unit: -5.4
Calculated density, Mg/m³: 5.51

Lattice parameters (Å, degrees): 5.878 5.878 5.878 90.00 90.00 90.00
Fractional coordinates of all 5 atoms:
Cd 0.000 0.500 0.000
Cd 0.000 0.000 0.500
Cd 0.500 0.000 0.000
Tl 0.000 0.000 0.000
Cs 0.500 0.500 0.500

(2)
The following is a PBE calculation of Cs3TlCd after structural relaxation, from the Alexandria database.

Values from the calculation:
Crystal system: monoclinic
V, Å³ per atom: 67.0
Energy of formation, eV per atom: -0.04
DOS(E_F), states/eV/cell: 14.44
E_tot, eV per formula unit: -6.0
Calculated density, Mg/m³: 3.54

Lattice parameters (Å, degrees): 7.800 11.624 15.232 76.14 90.00 90.00
Fractional coordinates of all 20 atoms:
Cs 0.902 0.962 0.355
Cs 0.630 0.626 0.185
Cs 0.130 0.374 0.315
Cs 0.098 0.038 0.645
Cs 0.870 0.626 0.685
Cs 0.357 0.703 0.459
Cs 0.370 0.374 0.815
Cs 0.643 0.297 0.541
Cs 0.402 0.038 0.145
Cs 0.857 0.297 0.041
Cs 0.598 0.962 0.855
Cs 0.143 0.703 0.959
Tl 0.908 0.928 0.084
Tl 0.592 0.928 0.584
Tl 0.092 0.072 0.916
Tl 0.408 0.072 0.416
Cd 0.383 0.739 0.713
Cd 0.617 0.261 0.287
Cd 0.117 0.739 0.213
Cd 0.883 0.261 0.787

What did the second record say?
The following is a PBE calculation of Cs3TlCd after structural relaxation, from the Alexandria database.

Values from the calculation:
Crystal system: monoclinic
V, Å³ per atom: 67.0
Energy of formation, eV per atom: -0.04
DOS(E_F), states/eV/cell: 14.44
E_tot, eV per formula unit: -6.0
Calculated density, Mg/m³: 3.54

Lattice parameters (Å, degrees): 7.800 11.624 15.232 76.14 90.00 90.00
Fractional coordinates of all 20 atoms:
Cs 0.902 0.962 0.355
Cs 0.630 0.626 0.185
Cs 0.130 0.374 0.315
Cs 0.098 0.038 0.645
Cs 0.870 0.626 0.685
Cs 0.357 0.703 0.459
Cs 0.370 0.374 0.815
Cs 0.643 0.297 0.541
Cs 0.402 0.038 0.145
Cs 0.857 0.297 0.041
Cs 0.598 0.962 0.855
Cs 0.143 0.703 0.959
Tl 0.908 0.928 0.084
Tl 0.592 0.928 0.584
Tl 0.092 0.072 0.916
Tl 0.408 0.072 0.416
Cd 0.383 0.739 0.713
Cd 0.617 0.261 0.287
Cd 0.117 0.739 0.213
Cd 0.883 0.261 0.787